[1]
DFT (PBE with a Hubbard U) results for Cr3Sn2Sb3O16 after structural relaxation.

Computed properties:
The density of states at the Fermi level comes out at 0.5 states/eV/cell. Its total magnetization is 9.00 Bohr magnetons per cell. The total energy is -6.63 eV/atom.

a = 6.137 Å, b = 6.137 Å, c = 9.465 Å
α = 90.21°, β = 90.21°, γ = 60.23°
Element x y z (fractional)
Cr 0.000 0.000 0.000
Cr 0.340 0.835 0.501
Cr 0.835 0.340 0.501
Sn 0.516 0.516 0.231
Sn 0.847 0.847 0.705
Sb 0.001 0.505 0.996
Sb 0.339 0.339 0.498
Sb 0.505 0.001 0.996
O 0.013 0.499 0.613
O 0.014 0.014 0.611
O 0.125 0.691 0.879
O 0.169 0.169 0.896
O 0.173 0.173 0.402
O 0.210 0.651 0.372
O 0.337 0.337 0.105
O 0.340 0.844 0.104
O 0.499 0.013 0.613
O 0.501 0.501 0.606
O 0.651 0.210 0.372
O 0.654 0.654 0.382
O 0.688 0.688 0.871
O 0.691 0.125 0.879
O 0.834 0.834 0.111
O 0.844 0.340 0.104

***

[2]
DFT (PBE with a Hubbard U) results for CrSnSbO6 after structural relaxation.

Computed properties:
The density of states at the Fermi level comes out at 0.0 states/eV/cell. As for the energy relative to the lowest polymorph listed for this composition: 0.00 eV per formula unit. Its total magnetization is 6.00 Bohr magnetons per cell. The total energy is -6.71 eV/atom.

a = 4.722 Å, b = 4.722 Å, c = 9.466 Å
α = 90.00°, β = 90.00°, γ = 90.00°
Element x y z (fractional)
Cr 0.000 0.000 0.000
Cr 0.500 0.500 0.500
Sn 0.000 0.000 0.667
Sn 0.500 0.500 0.167
Sb 0.000 0.000 0.334
Sb 0.500 0.500 0.834
O 0.188 0.188 0.168
O 0.196 0.196 0.496
O 0.197 0.197 0.837
O 0.303 0.697 0.337
O 0.304 0.696 0.996
O 0.312 0.688 0.668
O 0.688 0.312 0.668
O 0.696 0.304 0.996
O 0.697 0.303 0.337
O 0.803 0.803 0.837
O 0.804 0.804 0.496
O 0.812 0.812 0.168

***

[3]
DFT (PBE with a Hubbard U) results for CrSnSbO6 after structural relaxation.

Computed properties:
As for the energy relative to the lowest polymorph listed for this composition: 0.53 eV per formula unit. Its total magnetization is 6.00 Bohr magnetons per cell. The total energy is -6.65 eV/atom.

a = 5.164 Å, b = 5.164 Å, c = 8.995 Å
α = 90.00°, β = 90.00°, γ = 120.00°
Element x y z (fractional)
Cr 0.333 0.667 0.250
Cr 0.667 0.333 0.750
Sn 0.000 0.000 0.000
Sn 0.000 0.000 0.500
Sb 0.333 0.667 0.750
Sb 0.667 0.333 0.250
O 0.001 0.344 0.630
O 0.001 0.657 0.870
O 0.343 0.344 0.870
O 0.343 0.999 0.630
O 0.344 0.001 0.130
O 0.344 0.343 0.370
O 0.656 0.657 0.630
O 0.656 0.999 0.870
O 0.657 0.001 0.370
O 0.657 0.656 0.130
O 0.999 0.343 0.130
O 0.999 0.656 0.370

***

[4]
DFT (PBE with a Hubbard U) results for Sr3CrSb2O9 after structural relaxation.

Computed properties:
The density of states at the Fermi level comes out at 1.4 states/eV/cell. Its total magnetization is 3.51 Bohr magnetons per cell. The total energy is -6.51 eV/atom.

a = 5.752 Å, b = 5.752 Å, c = 7.061 Å
α = 90.00°, β = 90.00°, γ = 120.00°
Element x y z (fractional)
Sr 0.000 0.000 0.000
Sr 0.333 0.667 0.657
Sr 0.667 0.333 0.343
Cr 0.000 0.000 0.500
Sb 0.333 0.667 0.175
Sb 0.667 0.333 0.825
O 0.000 0.500 0.000
O 0.167 0.334 0.333
O 0.167 0.833 0.333
O 0.334 0.167 0.667
O 0.500 0.000 0.000
O 0.500 0.500 0.000
O 0.666 0.833 0.333
O 0.833 0.167 0.667
O 0.833 0.666 0.667

***

[5]
DFT (PBE with a Hubbard U) results for Sr3CrSb2O8 after structural relaxation.

Computed properties:
The density of states at the Fermi level comes out at 3.9 states/eV/cell. Its total magnetization is 3.86 Bohr magnetons per cell. The total energy is -6.20 eV/atom.

a = 5.789 Å, b = 5.789 Å, c = 7.650 Å
α = 90.00°, β = 90.00°, γ = 120.00°
Element x y z (fractional)
Sr 0.000 0.000 0.000
Sr 0.333 0.667 0.624
Sr 0.667 0.333 0.376
Cr 0.000 0.000 0.500
Sb 0.333 0.667 0.195
Sb 0.667 0.333 0.805
O 0.162 0.325 0.338
O 0.162 0.838 0.338
O 0.325 0.162 0.662
O 0.333 0.667 0.929
O 0.667 0.333 0.071
O 0.675 0.838 0.338
O 0.838 0.162 0.662
O 0.838 0.675 0.662

***

[6]
DFT (PBE with a Hubbard U) results for TaCrSbO6 after structural relaxation.

Computed properties:
The density of states at the Fermi level comes out at 4.9 states/eV/cell. Its total magnetization is 5.17 Bohr magnetons per cell. The total energy is -7.92 eV/atom.

a = 5.162 Å, b = 5.162 Å, c = 9.286 Å
α = 90.00°, β = 90.00°, γ = 120.00°
Element x y z (fractional)
Ta 0.333 0.667 0.250
Ta 0.667 0.333 0.750
Cr 0.333 0.667 0.750
Cr 0.667 0.333 0.250
Sb 0.000 0.000 0.000
Sb 0.000 0.000 0.500
O 0.003 0.347 0.132
O 0.003 0.656 0.368
O 0.344 0.347 0.368
O 0.344 0.997 0.132
O 0.347 0.003 0.632
O 0.347 0.344 0.868
O 0.653 0.656 0.132
O 0.653 0.997 0.368
O 0.656 0.003 0.868
O 0.656 0.653 0.632
O 0.997 0.344 0.632
O 0.997 0.653 0.868